1.
## NdMgCuSe2S (PBE)

Data for a relaxed NdMgCuSe2S crystal.

Cell lengths 3.881, 12.581, 10.783 Å; angles 90.00, 90.00, 90.00 degrees
Space group Cmcm (No. 63)
Inequivalent atoms, fractional coordinates:
Nd  0.000  0.000  0.000
Mg  0.000  0.249  0.250
Cu  0.000  0.482  0.750
Se  0.000  0.344  0.588
S  0.000  0.094  0.750

Summary:
VASP energy = -0.3440 Ry/atom
size of the total moment = 0.00 μB/cell
calculated volume = 526.5 Å³/cell

2.
## NdMgCuTe2S (PBE)

Data for a relaxed NdMgCuTe2S crystal.

Cell lengths 4.053, 13.499, 10.821 Å; angles 90.00, 90.00, 90.00 degrees
Space group Cmcm (No. 63)
Inequivalent atoms, fractional coordinates:
Nd  0.000  0.000  0.000
Mg  0.000  0.278  0.250
Cu  0.000  0.484  0.750
Te  0.000  0.341  0.584
S  0.000  0.086  0.750

Summary:
VASP energy = -0.3155 Ry/atom
size of the total moment = 0.01 μB/cell
calculated volume = 592.1 Å³/cell

Question: Number 1 is which compound?
Answer: NdMgCuSe2S

Question: Among the records above, which one has the highest VASP energy?
Answer: NdMgCuTe2S

Question: Which of these has the highest VASP energy?
Answer: NdMgCuTe2S